Here is a relaxed structure of LiDyInIr from Alexandria via LeMat-Bulk. Energies are from PBE.

Cell: 4.761 4.761 4.761 Å, 60.00 60.00 60.00°
Fractional positions:
Ir1 0.750 0.750 0.750
In1 0.000 0.000 0.000
Li1 0.250 0.250 0.250
Dy1 0.500 0.500 0.500

Properties
Calculated formation energy in meV per atom: -521
Space-group type: F-43m, No. 216

=====

Here is a relaxed structure of DyLuInIr from Alexandria via LeMat-Bulk. Energies are from PBE.

Cell: 5.023 5.023 5.023 Å, 60.00 60.00 60.00°
Fractional positions:
In1 0.500 0.500 0.500
Ir1 0.000 0.000 0.000
Lu1 0.250 0.250 0.250
Dy1 0.750 0.750 0.750

Properties
Calculated formation energy in meV per atom: -580
Space-group type: F-43m, No. 216

=====

Here is a relaxed structure of NaDyInIr from Alexandria via LeMat-Bulk. Energies are from PBE.

Cell: 4.883 4.883 4.883 Å, 60.00 60.00 60.00°
Fractional positions:
Na1 0.250 0.250 0.250
Ir1 0.750 0.750 0.750
In1 0.000 0.000 0.000
Dy1 0.500 0.500 0.500

Properties
Calculated formation energy in meV per atom: -279
Space-group type: F-43m, No. 216

=====

Here is a relaxed structure of NdDyInIr from Alexandria via LeMat-Bulk. Energies are from PBE.

Cell: 5.162 5.162 5.162 Å, 60.00 60.00 60.00°
Fractional positions:
In1 0.000 0.000 0.000
Ir1 0.500 0.500 0.500
Nd1 0.250 0.250 0.250
Dy1 0.750 0.750 0.750

Properties
Calculated formation energy in meV per atom: -467
Space-group type: F-43m, No. 216

=====

Here is a relaxed structure of DyInNiIr from Alexandria via LeMat-Bulk. Energies are from PBE.

Cell: 4.679 4.679 4.679 Å, 60.00 60.00 60.00°
Fractional positions:
Ni1 0.250 0.250 0.250
Ir1 0.750 0.750 0.750
In1 0.000 0.000 0.000
Dy1 0.500 0.500 0.500

Properties
Calculated formation energy in meV per atom: -437
Space-group type: F-43m, No. 216

=====

Here is a relaxed structure of Dy5In2Ir2Pd from Alexandria via LeMat-Bulk. Energies are from PBE.

Cell: 3.621 11.638 11.638 Å, 90.00 90.00 90.00°
Fractional positions:
Dy1 0.500 0.198 0.072
Dy2 0.500 0.802 0.928
Dy3 0.500 0.072 0.802
Dy4 0.500 0.698 0.428
Dy5 0.500 0.928 0.198
Dy6 0.500 0.302 0.572
Dy7 0.500 0.572 0.698
Dy8 0.500 0.428 0.302
Dy9 0.500 0.500 0.000
Dy10 0.500 0.000 0.500
In1 0.000 0.675 0.175
In2 0.000 0.325 0.825
In3 0.000 0.175 0.325
In4 0.000 0.825 0.675
Ir1 0.000 0.135 0.635
Ir2 0.000 0.865 0.365
Ir3 0.000 0.635 0.865
Ir4 0.000 0.365 0.135
Pd1 0.000 0.000 0.000
Pd2 0.000 0.500 0.500

Properties
Calculated formation energy in meV per atom: -675
Space-group type: P4/mbm, No. 127

=====

Here is a relaxed structure of DyInIrPd from Alexandria via LeMat-Bulk. Energies are from PBE.

Cell: 4.761 4.761 4.761 Å, 60.00 60.00 60.00°
Fractional positions:
Ir1 0.000 0.000 0.000
In1 0.250 0.250 0.250
Pd1 0.500 0.500 0.500
Dy1 0.750 0.750 0.750

Properties
Calculated formation energy in meV per atom: -667
Space-group type: F-43m, No. 216

=====

Here is a relaxed structure of DyInIrRu from Alexandria via LeMat-Bulk. Energies are from PBE.

Cell: 4.698 4.698 4.698 Å, 60.00 60.00 60.00°
Fractional positions:
Ru1 0.750 0.750 0.750
Ir1 0.250 0.250 0.250
In1 0.000 0.000 0.000
Dy1 0.500 0.500 0.500

Properties
Calculated formation energy in meV per atom: -344
Space-group type: F-43m, No. 216

=====

Here is a relaxed structure of DyInSi2Ir5 from Alexandria via LeMat-Bulk. Energies are from PBE.

Cell: 3.925 3.925 11.269 Å, 90.00 90.00 90.00°
Fractional positions:
Dy1 0.000 0.000 0.500
In1 0.000 0.000 0.000
Si1 0.500 0.500 0.293
Si2 0.500 0.500 0.707
Ir1 0.000 0.500 0.175
Ir2 0.500 0.000 0.175
Ir3 0.000 0.500 0.825
Ir4 0.500 0.000 0.825
Ir5 0.500 0.500 0.500

Properties
Energy relative to the elements, uncorrected in eV per atom: -0.267
Space-group type: P4/mmm, No. 123

=====

Here is a relaxed structure of TbDyInIr from Alexandria via LeMat-Bulk. Energies are from PBE.

Cell: 5.087 5.087 5.087 Å, 60.00 60.00 60.00°
Fractional positions:
In1 0.500 0.500 0.500
Ir1 0.000 0.000 0.000
Tb1 0.250 0.250 0.250
Dy1 0.750 0.750 0.750

Properties
Calculated formation energy in meV per atom: -544
Space-group type: F-43m, No. 216

=====

Here is a relaxed structure of DyTmInIr from Alexandria via LeMat-Bulk. Energies are from PBE.

Cell: 5.042 5.042 5.042 Å, 60.00 60.00 60.00°
Fractional positions:
In1 0.000 0.000 0.000
Ir1 0.500 0.500 0.500
Tm1 0.750 0.750 0.750
Dy1 0.250 0.250 0.250

Properties
Calculated formation energy in meV per atom: -574
Space-group type: F-43m, No. 216

=====

Here is a relaxed structure of DyYInIr from Alexandria via LeMat-Bulk. Energies are from PBE.

Cell: 5.079 5.079 5.079 Å, 60.00 60.00 60.00°
Fractional positions:
Y1 0.750 0.750 0.750
Ir1 0.000 0.000 0.000
In1 0.500 0.500 0.500
Dy1 0.250 0.250 0.250

Properties
Calculated formation energy in meV per atom: -557
Space-group type: F-43m, No. 216

=====

Here is a relaxed structure of KDyIn2 from Alexandria via LeMat-Bulk. Energies are from PBE.

Cell: 3.849 3.849 8.556 Å, 90.00 90.00 90.00°
Fractional positions:
K1 0.500 0.500 0.500
In1 0.000 0.000 0.798
In2 0.000 0.000 0.202
Dy1 0.500 0.500 0.000

Properties
Calculated formation energy in meV per atom: -230
Space-group type: P4/mmm, No. 123
Excess energy over the best structure of this formula in the dataset in kJ per mole of atoms: 0.0

=====

Here is a relaxed structure of KDyIn4 from Alexandria via LeMat-Bulk. Energies are from PBE.

Cell: 6.174 6.174 6.174 Å, 60.00 60.00 60.00°
Fractional positions:
K1 0.250 0.250 0.250
In1 0.625 0.625 0.124
In2 0.625 0.124 0.625
In3 0.625 0.625 0.625
In4 0.124 0.625 0.625
Dy1 0.000 0.000 0.000

Properties
Calculated formation energy in meV per atom: -143
Space-group type: F-43m, No. 216

=====

Here is a relaxed structure of K3Dy2InO6 from Alexandria via LeMat-Bulk. Energies are from PBE.

Cell: 5.959 5.959 6.566 Å, 98.68 98.68 120.00°
Fractional positions:
K1 0.164 0.836 0.500
K2 0.836 0.164 0.500
K3 0.500 0.500 0.500
Dy1 0.333 0.667 0.000
Dy2 0.667 0.333 0.000
In1 0.000 0.000 0.000
O1 0.938 0.608 0.812
O2 0.732 0.732 0.187
O3 0.062 0.392 0.188
O4 0.608 0.938 0.812
O5 0.268 0.268 0.813
O6 0.392 0.062 0.188

Properties
Energy relative to the elements, uncorrected in eV per atom: -2.345
Space-group type: C2/m, No. 12

=====

Here is a relaxed structure of KDyIn4O8 from Alexandria via LeMat-Bulk. Energies are from PBE.

Cell: 6.722 6.722 6.757 Å, 60.17 60.17 60.00°
Fractional positions:
K1 0.376 0.376 0.872
Dy1 0.004 0.004 0.988
In1 0.621 0.621 0.136
In2 0.004 0.489 0.503
In3 0.489 0.004 0.503
In4 0.004 0.004 0.503
O1 0.233 0.809 0.724
O2 0.809 0.233 0.724
O3 0.233 0.233 0.724
O4 0.231 0.231 0.307
O5 0.754 0.228 0.264
O6 0.228 0.754 0.264
O7 0.754 0.754 0.264
O8 0.759 0.759 0.724

Properties
Energy relative to the elements, uncorrected in eV per atom: -1.791
Space-group type: R3m, No. 160

=====

Here is a relaxed structure of K3Dy3InS8 from Alexandria via LeMat-Bulk. Energies are from PBE.

Cell: 7.948 7.956 8.831 Å, 116.81 90.00 119.98°
Fractional positions:
K1 0.000 0.000 0.000
K2 0.000 0.500 0.000
K3 0.500 0.500 0.000
Dy1 0.500 0.000 0.500
Dy2 0.500 0.500 0.500
Dy3 0.000 0.500 0.500
In1 0.000 0.000 0.500
S1 0.266 0.532 0.299
S2 0.734 0.468 0.701
S3 0.771 0.542 0.303
S4 0.229 0.458 0.697
S5 0.771 0.032 0.303
S6 0.229 0.968 0.697
S7 0.261 0.032 0.303
S8 0.739 0.968 0.697

Properties
Energy relative to the elements, uncorrected in eV per atom: -1.518
Space-group type: C2/m, No. 12

=====

Here is a relaxed structure of K4Dy3InS8 from Alexandria via LeMat-Bulk. Energies are from PBE.

Cell: 8.050 8.721 8.050 Å, 117.50 120.00 90.00°
Fractional positions:
K1 0.500 0.000 0.000
K2 0.500 0.000 0.500
K3 0.000 0.000 0.000
K4 0.000 0.000 0.500
Dy1 0.500 0.500 0.000
Dy2 0.500 0.500 0.500
Dy3 0.000 0.500 0.500
In1 0.000 0.500 0.000
S1 0.231 0.701 0.970
S2 0.231 0.701 0.462
S3 0.266 0.298 0.532
S4 0.739 0.701 0.970
S5 0.261 0.299 0.030
S6 0.734 0.702 0.468
S7 0.769 0.299 0.538
S8 0.769 0.299 0.030

Properties
Energy relative to the elements, uncorrected in eV per atom: -1.622
Space-group type: R-3m, No. 166

=====

Here is a relaxed structure of KDyInSe3 from Alexandria via LeMat-Bulk. Energies are from PBE.

Cell: 4.093 8.636 11.300 Å, 107.13 90.00 90.00°
Fractional positions:
K1 0.250 0.231 0.265
K2 0.750 0.769 0.735
Dy1 0.250 0.646 0.146
Dy2 0.750 0.354 0.854
In1 0.250 0.134 0.578
In2 0.750 0.866 0.422
Se1 0.750 0.897 0.195
Se2 0.250 0.103 0.805
Se3 0.250 0.655 0.412
Se4 0.750 0.345 0.588
Se5 0.750 0.408 0.114
Se6 0.250 0.592 0.886

Properties
Energy relative to the elements, uncorrected in eV per atom: -1.269
Space-group type: P2_1/m, No. 11

=====

Here is a relaxed structure of K4Dy3InSe8 from Alexandria via LeMat-Bulk. Energies are from PBE.

Cell: 8.387 9.092 8.387 Å, 117.46 120.00 90.00°
Fractional positions:
K1 0.500 0.000 0.000
K2 0.500 0.000 0.500
K3 0.000 0.000 0.000
K4 0.000 0.000 0.500
Dy1 0.500 0.500 0.000
Dy2 0.500 0.500 0.500
Dy3 0.000 0.500 0.500
In1 0.000 0.500 0.000
Se1 0.232 0.704 0.971
Se2 0.232 0.704 0.465
Se3 0.265 0.295 0.530
Se4 0.739 0.704 0.971
Se5 0.261 0.296 0.029
Se6 0.735 0.705 0.470
Se7 0.768 0.296 0.535
Se8 0.768 0.296 0.029

Properties
Energy relative to the elements, uncorrected in eV per atom: -1.518
Space-group type: R-3m, No. 166